(1)
A geometry-optimized HgAs2Os structure. Source: Alexandria, functional PBE.

Cell lengths 3.055, 3.055, 28.052 Å; angles 90.00, 90.00, 120.00 degrees
Sites, in units of the cell vectors:
Hg1 0.000 0.000 0.000
Hg2 0.333 0.667 0.667
Hg3 0.667 0.333 0.333
As1 0.000 0.000 0.520
As2 0.000 0.000 0.764
As3 0.333 0.667 0.187
As4 0.333 0.667 0.430
As5 0.667 0.333 0.097
As6 0.667 0.333 0.853
Os1 0.000 0.000 0.248
Os2 0.333 0.667 0.914
Os3 0.667 0.333 0.581



(2)
A geometry-optimized Hg2AsOs structure. Source: Alexandria, functional PBE.

Cell lengths 3.119, 5.482, 4.614 Å; angles 90.00, 95.71, 90.00 degrees
Sites, in units of the cell vectors:
Hg1 0.248 0.000 0.249
Hg2 0.752 0.000 0.751
As1 0.500 0.500 0.500
Os1 0.000 0.500 0.000



(3)
A geometry-optimized HgAs2Os structure. Source: Alexandria, functional PBE.

Cell lengths 6.616, 6.616, 6.616 Å; angles 90.00, 90.00, 90.00 degrees
Sites, in units of the cell vectors:
Hg1 0.000 0.000 0.000
Hg2 0.000 0.500 0.500
Hg3 0.500 0.000 0.500
Hg4 0.500 0.500 0.000
As1 0.000 0.000 0.500
As2 0.000 0.500 0.000
As3 0.250 0.250 0.750
As4 0.250 0.750 0.250
As5 0.500 0.000 0.000
As6 0.500 0.500 0.500
As7 0.750 0.250 0.250
As8 0.750 0.750 0.750
Os1 0.250 0.250 0.250
Os2 0.250 0.750 0.750
Os3 0.750 0.250 0.750
Os4 0.750 0.750 0.250



Number 1: energy of formation 0.44 eV/atom, total moment 0.00 Bohr magnetons per cell. Number 2: energy of formation 0.82 eV/atom, total moment 0.52 Bohr magnetons per cell. Number 3: energy of formation 0.94 eV/atom, total moment 0.00 Bohr magnetons per cell.